A relaxed structure of Ce3PtC. Source: Alexandria via LeMat-Bulk, functional GGA-PBE.

Lattice parameters (Å, degrees): 8.5109 6.1413 9.3220 90.00 115.31 90.00
Space group P2_1/c (No. 14)
Inequivalent atoms, fractional coordinates:
Ce: 0.0738 0.0863 0.3526 x4
Ce: 0.2077 0.5926 0.5510 x4
Ce: 0.3733 0.1285 0.7724 x4
Pt: 0.4058 0.6725 0.8967 x4
C: 0.0799 0.2449 0.6035 x4

## Properties
**ΔE_f**: -223 kJ/mol of formula units
**Final energy**: -0.260 hartree per atom
**Total magnetization**: 5.97 μB/cell



A relaxed structure of CePtC. Source: Alexandria via LeMat-Bulk, functional GGA-PBE.

Lattice parameters (Å, degrees): 3.7580 3.7197 8.0685 90.00 103.42 90.00
Space group P2_1/m (No. 11)
Inequivalent atoms, fractional coordinates:
Ce: 0.1662 0.2500 0.3318 x2
Pt: 0.4414 0.2500 0.8838 x2
C: 0.3146 0.2500 0.6300 x2

## Properties
**ΔE_f**: -92 kJ/mol of formula units
**Final energy**: -0.271 hartree per atom
**Total magnetization**: 0.00 μB/cell



A relaxed structure of Ce3PtC. Source: Alexandria via LeMat-Bulk, functional GGA-PBE.

Lattice parameters (Å, degrees): 11.2864 5.1374 7.7873 90.00 108.00 90.00
Space group C2/m (No. 12)
Inequivalent atoms, fractional coordinates:
Ce: 0.1054 0.0000 0.2156 x4
Ce: 0.1348 0.5000 0.9226 x4
Ce: 0.1472 0.0000 0.6142 x4
Pt: 0.0907 0.5000 0.4059 x4
C: 0.1301 0.0000 0.9185 x4

## Properties
**ΔE_f**: -230 kJ/mol of formula units
**Final energy**: -0.261 hartree per atom
**Total magnetization**: 1.51 μB/cell



A relaxed structure of Ce4PtC. Source: Alexandria via LeMat-Bulk, functional GGA-PBE.

Lattice parameters (Å, degrees): 7.7702 13.0232 6.5064 90.00 122.29 90.00
Space group C2/c (No. 15)
Inequivalent atoms, fractional coordinates:
Ce: 0.1410 0.2158 0.1907 x8
Ce: 0.2367 0.0597 0.7166 x8
Pt: 0.0000 0.3862 0.7500 x4
C: 0.0000 0.0547 0.2500 x4

## Properties
**ΔE_f**: -222 kJ/mol of formula units
**Final energy**: -0.253 hartree per atom
**Total magnetization**: 0.01 μB/cell



A relaxed structure of Ce2PtC. Source: Alexandria via LeMat-Bulk, functional GGA-PBE.

Lattice parameters (Å, degrees): 3.2610 3.2610 6.8758 90.00 90.00 90.00
Space group P4/mmm (No. 123)
Inequivalent atoms, fractional coordinates:
Ce: 0.0000 0.0000 0.2010 x2
Pt: 0.5000 0.5000 0.5000 x1
C: 0.5000 0.5000 0.0000 x1

## Properties
**ΔE_f**: -143 kJ/mol of formula units
**Final energy**: -0.263 hartree per atom
**Total magnetization**: 0.80 μB/cell



A relaxed structure of CePu2C. Source: Alexandria via LeMat-Bulk, functional GGA-PBE.

Lattice parameters (Å, degrees): 3.5379 3.5379 22.0755 90.00 90.00 120.00
Space group R-3m (No. 166, hexagonal axes)
Inequivalent atoms, fractional coordinates:
Ce: 0.0000 0.0000 0.0000 x3
Pu: 0.0000 0.0000 0.2284 x6
C: 0.0000 0.0000 0.5000 x3

## Properties
**ΔE_f**: 39 kJ/mol of formula units
**Final energy**: -0.399 hartree per atom
**Total magnetization**: 35.69 μB/cell



A relaxed structure of Ce2Pu3C4. Source: Alexandria via LeMat-Bulk, functional GGA-PBE.

Lattice parameters (Å, degrees): 7.5473 7.7185 12.2472 90.00 90.00 90.00
Space group Fmmm (No. 69)
Inequivalent atoms, fractional coordinates:
Ce: 0.0000 0.0000 0.2181 x8
Pu: 0.0000 0.0000 0.5000 x4
Pu: 0.2500 0.2500 0.0000 x8
C: 0.2076 0.0000 0.3758 x16

## Properties
**ΔE_f**: 357 kJ/mol of formula units
**Final energy**: -0.360 hartree per atom
**Total magnetization**: 49.49 μB/cell



A relaxed structure of CePu2C. Source: Alexandria via LeMat-Bulk, functional GGA-PBE.

Lattice parameters (Å, degrees): 3.0951 3.0951 8.4744 90.00 90.00 90.00
Space group P4/mmm (No. 123)
Inequivalent atoms, fractional coordinates:
Ce: 0.0000 0.0000 0.0000 x1
Pu: 0.5000 0.5000 0.3390 x2
C: 0.0000 0.0000 0.5000 x1

## Properties
**ΔE_f**: 84 kJ/mol of formula units
**Final energy**: -0.395 hartree per atom
**Total magnetization**: 9.41 μB/cell



A relaxed structure of Ce3PuC3. Source: Alexandria via LeMat-Bulk, functional GGA-PBE.

Lattice parameters (Å, degrees): 5.0893 5.0893 5.0893 90.00 90.00 90.00
Space group Pm-3m (No. 221)
Inequivalent atoms, fractional coordinates:
Ce: 0.0000 0.0000 0.5000 x3
Pu: 0.5000 0.5000 0.5000 x1
C: 0.0000 0.5000 0.5000 x3

## Properties
**ΔE_f**: -25 kJ/mol of formula units
**Final energy**: -0.315 hartree per atom
**Total magnetization**: 4.56 μB/cell



A relaxed structure of Ce3PuC. Source: Alexandria via LeMat-Bulk, functional GGA-PBE.

Lattice parameters (Å, degrees): 4.9724 4.9724 4.9724 90.00 90.00 90.00
Space group Pm-3m (No. 221)
Inequivalent atoms, fractional coordinates:
Ce: 0.0000 0.0000 0.5000 x3
Pu: 0.5000 0.5000 0.5000 x1
C: 0.0000 0.0000 0.0000 x1

## Properties
**ΔE_f**: 26 kJ/mol of formula units
**Final energy**: -0.302 hartree per atom
**Total magnetization**: 7.64 μB/cell



A relaxed structure of Ce2PuC2. Source: Alexandria via LeMat-Bulk, functional GGA-PBE.

Lattice parameters (Å, degrees): 6.9235 5.1894 10.7119 90.00 90.00 90.00
Space group Pnma (No. 62)
Inequivalent atoms, fractional coordinates:
Ce: 0.1059 0.2500 0.2486 x4
Ce: 0.1453 0.2500 0.9255 x4
Pu: 0.1259 0.2500 0.5937 x4
C: 0.1180 0.7500 0.2367 x4
C: 0.1481 0.7500 0.9255 x4

## Properties
**ΔE_f**: -17 kJ/mol of formula units
**Final energy**: -0.329 hartree per atom
**Total magnetization**: 21.46 μB/cell



A relaxed structure of CePu2ReC4. Source: Alexandria via LeMat-Bulk, functional GGA-PBE.

Lattice parameters (Å, degrees): 3.4681 11.8551 12.3053 90.00 90.00 90.00
Space group Cmcm (No. 63)
Inequivalent atoms, fractional coordinates:
Ce: 0.0000 0.1006 0.2500 x4
Pu: 0.0000 0.3689 0.0388 x8
Re: 0.0000 0.1602 0.7500 x4
C: 0.0000 0.0000 0.0000 x4
C: 0.0000 0.2605 0.6272 x8
C: 0.0000 0.4332 0.2500 x4

## Properties
**ΔE_f**: 39 kJ/mol of formula units
**Final energy**: -0.384 hartree per atom
**Total magnetization**: 38.17 μB/cell



Repeat the eighth record exactly.
A relaxed structure of CePu2C. Source: Alexandria via LeMat-Bulk, functional GGA-PBE.

Lattice parameters (Å, degrees): 3.0951 3.0951 8.4744 90.00 90.00 90.00
Space group P4/mmm (No. 123)
Inequivalent atoms, fractional coordinates:
Ce: 0.0000 0.0000 0.0000 x1
Pu: 0.5000 0.5000 0.3390 x2
C: 0.0000 0.0000 0.5000 x1

## Properties
**ΔE_f**: 84 kJ/mol of formula units
**Final energy**: -0.395 hartree per atom
**Total magnetization**: 9.41 μB/cell